Computed, not measured: a relaxed Sc2GeBi crystal at the PBE level of DFT.

Calculated values
- Magnetization: 0.0 μB per formula unit
- Energy above the most stable polymorph in this dataset: 70.5 kJ per mole of atoms
- D(E_F): 2.8 states/eV/f.u.

Cell lengths 3.9403, 3.9403, 27.1328 Å; angles 90.00, 90.00, 120.00 degrees
With the nearest neighbours (Å) after each atom.
Space group R-3m (No. 166, hexagonal axes)
Unique sites:
Sc 0.0000 0.0000 0.0986 (multiplicity 6)  1 Ge 2.68, 3 Bi 2.93
Ge 0.0000 0.0000 0.0000 (multiplicity 3)  2 Sc 2.68
Bi 0.0000 0.0000 0.5000 (multiplicity 3)  6 Sc 2.93


Computed, not measured: a relaxed Sc2GeBi crystal at the PBE level of DFT.

Calculated values
- Magnetization: 0.0 μB per formula unit
- Energy above the most stable polymorph in this dataset: 20.4 kJ per mole of atoms
- D(E_F): 1.7 states/eV/f.u.

Cell lengths 7.6820, 7.6820, 6.5403 Å; angles 90.00, 90.00, 90.00 degrees
With the nearest neighbours (Å) after each atom.
Space group I-42d (No. 122)
Unique sites:
Sc 0.2201 0.2500 0.1250 (multiplicity 8)  2 Ge 2.69, 2 Bi 3.00
Ge 0.0000 0.0000 0.0000 (multiplicity 4)  4 Sc 2.69
Bi 0.0000 0.0000 0.5000 (multiplicity 4)  4 Sc 3.00, 2 Ge 3.27


Computed, not measured: a relaxed Sc2GeBi2 crystal at the PBE level of DFT.

Calculated values
- Magnetization: 0.4 μB per formula unit
- Energy above the most stable polymorph in this dataset: 14.7 kJ per mole of atoms
- D(E_F): 2.2 states/eV/f.u.

Cell lengths 8.1085, 8.1085, 3.9624 Å; angles 90.00, 90.00, 90.00 degrees
With the nearest neighbours (Å) after each atom.
Space group P4/mbm (No. 127)
Unique sites:
Sc 0.1438 0.3562 0.0000 (multiplicity 4)  6 Bi 3.03-3.14, 1 Sc 3.30
Ge 0.0000 0.0000 0.5000 (multiplicity 2)  4 Bi 3.06
Bi 0.1562 0.6562 0.5000 (multiplicity 4)  6 Sc 3.03-3.14, 2 Ge 3.06


Computed, not measured: a relaxed Sc2Ge2Bi crystal at the PBE level of DFT.

Calculated values
- Magnetization: 0.0 μB per formula unit
- Energy above the most stable polymorph in this dataset: 2.2 kJ per mole of atoms
- D(E_F): 2.9 states/eV/f.u.

Cell lengths 7.5212, 7.5212, 3.8538 Å; angles 90.00, 90.00, 90.00 degrees
With the nearest neighbours (Å) after each atom.
Space group P4/mbm (No. 127)
Unique sites:
Sc 0.1758 0.3242 0.0000 (multiplicity 4)  6 Ge 2.91-2.97
Ge 0.1194 0.6194 0.5000 (multiplicity 4)  1 Ge 2.54
Bi 0.0000 0.0000 0.5000 (multiplicity 2)  4 Ge 3.00


Computed, not measured: a relaxed Sc2GeBi crystal at the PBE level of DFT.

Calculated values
- Magnetization: 0.0 μB per formula unit
- Energy above the most stable polymorph in this dataset: 24.0 kJ per mole of atoms
- D(E_F): 6.8 states/eV/f.u.

Cell lengths 7.1492, 7.1492, 7.1492 Å; angles 90.00, 90.00, 90.00 degrees
With the nearest neighbours (Å) after each atom.
Space group Fm-3m (No. 225)
Unique sites:
Sc 0.2500 0.2500 0.2500 (multiplicity 8)  4 Ge 3.10, 4 Bi 3.10
Ge 0.0000 0.0000 0.0000 (multiplicity 4)  8 Sc 3.10
Bi 0.0000 0.0000 0.5000 (multiplicity 4)  8 Sc 3.10


Computed, not measured: a relaxed Sc2Ge2Bi crystal at the PBE level of DFT.

Calculated values
- Magnetization: 0.0 μB per formula unit
- Energy above the most stable polymorph in this dataset: 0.0 kJ per mole of atoms
- D(E_F): 2.4 states/eV/f.u.

Cell lengths 3.7853, 3.7853, 15.6153 Å; angles 90.00, 90.00, 90.00 degrees
With the nearest neighbours (Å) after each atom.
Space group I4/mmm (No. 139)
Unique sites:
Sc 0.0000 0.0000 0.1136 (multiplicity 4)  4 Ge 2.85
Ge 0.0000 0.5000 0.2500 (multiplicity 4)  4 Ge 2.68, 4 Sc 2.85
Bi 0.0000 0.0000 0.5000 (multiplicity 2)  8 Sc 3.21


Computed, not measured: a relaxed Sc2Ge2Bi crystal at the PBE level of DFT.

Calculated values
- Magnetization: 0.0 μB per formula unit
- Energy above the most stable polymorph in this dataset: 22.0 kJ per mole of atoms
- D(E_F): 3.7 states/eV/f.u.

Cell lengths 4.8091, 4.8091, 10.2977 Å; angles 90.00, 90.00, 90.00 degrees
With the nearest neighbours (Å) after each atom.
Space group I4/mmm (No. 139)
Unique sites:
Sc 0.0000 0.5000 0.2500 (multiplicity 4)  4 Ge 2.76
Ge 0.0000 0.0000 0.1181 (multiplicity 4)  1 Ge 2.43
Bi 0.0000 0.0000 0.5000 (multiplicity 2)  8 Sc 3.52, 10 Ge 3.61-3.93


Computed, not measured: a relaxed Sc2Ge2Bi crystal at the PBE level of DFT.

Calculated values
- Magnetization: 0.0 μB per formula unit
- Energy above the most stable polymorph in this dataset: 14.8 kJ per mole of atoms
- D(E_F): 4.2 states/eV/f.u.

Cell lengths 7.9632, 7.9632, 3.4598 Å; angles 90.00, 90.00, 90.00 degrees
With the nearest neighbours (Å) after each atom.
Space group P4/mbm (No. 127)
Unique sites:
Sc 0.1385 0.3615 0.0000 (multiplicity 4)  6 Ge 2.79-2.99, 2 Bi 3.08, 1 Sc 3.12
Ge 0.1665 0.6665 0.5000 (multiplicity 4)  6 Sc 2.79-2.99
Bi 0.0000 0.0000 0.0000 (multiplicity 2)  4 Sc 3.08, 8 Ge 3.44


Computed, not measured: a relaxed Sc2GeBi2 crystal at the PBE level of DFT.

Calculated values
- Magnetization: 0.0 μB per formula unit
- Energy above the most stable polymorph in this dataset: 0.0 kJ per mole of atoms
- D(E_F): 3.2 states/eV/f.u.

Cell lengths 7.4404, 7.4404, 4.4730 Å; angles 90.00, 90.00, 90.00 degrees
With the nearest neighbours (Å) after each atom.
Space group P4/mbm (No. 127)
Unique sites:
Sc 0.1576 0.3424 0.0000 (multiplicity 4)  2 Ge 2.80, 2 Bi 2.95
Ge 0.0000 0.0000 0.0000 (multiplicity 2)  4 Sc 2.80
Bi 0.1599 0.6599 0.5000 (multiplicity 4)  6 Sc 2.95-3.25


Computed, not measured: a relaxed Sc5Ge2Bi2 crystal at the PBE level of DFT.

Calculated values
- Magnetization: 0.0 μB per formula unit
- E: -6.1953 eV per atom
- D(E_F): 6.1 states/eV/f.u.

Cell lengths 14.5574, 7.5343, 7.5435 Å; angles 90.00, 90.00, 90.00 degrees
With the nearest neighbours (Å) after each atom.
Space group Cmce (No. 64)
Unique sites:
Sc 0.0000 0.0000 0.0000 (multiplicity 4)  4 Ge 2.90-2.92, 2 Bi 3.02
Sc 0.1207 0.1600 0.3388 (multiplicity 16)  3 Ge 2.75-2.88, 1 Bi 3.04
Ge 0.0000 0.1422 0.6402 (multiplicity 8)  8 Sc 2.75-2.92, 1 Ge 3.01
Bi 0.2071 0.0000 0.0000 (multiplicity 8)  7 Sc 3.02-3.10


Computed, not measured: a relaxed Sc8GeBi2 crystal at the PBE level of DFT.

Calculated values
- Magnetization: 0.6 μB per formula unit
- E: -6.1156 eV per atom
- D(E_F): 14.2 states/eV/f.u.

Cell lengths 17.2632, 4.8057, 6.2833 Å; angles 90.00, 91.99, 90.00 degrees
With the nearest neighbours (Å) after each atom.
Space group C2/m (No. 12)
Unique sites:
Sc 0.0321 0.0000 0.2539 (multiplicity 4)  2 Ge 2.92
Sc 0.0888 0.5000 0.9302 (multiplicity 4)  1 Ge 3.06, 7 Sc 3.12-3.40, 2 Bi 3.22
Sc 0.1517 0.5000 0.4015 (multiplicity 4)  1 Ge 2.71, 2 Bi 2.98
Sc 0.2168 0.0000 0.1437 (multiplicity 4)  3 Bi 3.01-3.27, 5 Sc 3.13-3.29
Ge 0.0000 0.5000 0.5000 (multiplicity 2)  6 Sc 2.71-2.92
Bi 0.1695 0.0000 0.6782 (multiplicity 4)  8 Sc 2.98-3.27


Computed, not measured: a relaxed Sc4GeBi crystal at the PBE level of DFT.

Calculated values
- Magnetization: 0.4 μB per formula unit
- E: -6.0215 eV per atom
- D(E_F): 8.2 states/eV/f.u.

Cell lengths 14.9186, 5.6721, 7.1725 Å; angles 90.00, 103.83, 90.00 degrees
With the nearest neighbours (Å) after each atom.
Space group C2/c (No. 15)
Unique sites:
Sc 0.0759 0.1156 0.4378 (multiplicity 8)  1 Ge 2.64, 1 Sc 2.93
Sc 0.1679 0.3760 0.1345 (multiplicity 8)  2 Ge 2.71-2.74
Ge 0.2500 0.2500 0.5000 (multiplicity 4)  6 Sc 2.64-2.74
Bi 0.0000 0.3718 0.7500 (multiplicity 4)  10 Sc 3.10-3.29


Question: Which value of magnetization does entry 10 give?
Answer: 0.0 μB per formula unit